# KRhSe2, PBEsol geometry, DFT meta-GGA SCAN
# Total moment: 0.000 Bohr magnetons per cell
# E_form (uncorrected): -0.24 eV/atom
# Uncorrected energy: -83.23 eV for the cell shown
data_KRhSe2
_chemical_formula_sum 'K1 Rh1 Se2'
_symmetry_space_group_name_H-M 'P 4 m m'
_symmetry_Int_Tables_number 99
_cell_length_a 3.134
_cell_length_b 3.134
_cell_length_c 9.125
_cell_angle_alpha 90.00
_cell_angle_beta 90.00
_cell_angle_gamma 90.00
loop_
_symmetry_equiv_pos_as_xyz
'x,y,z'
'-y,x,z'
'-x,-y,z'
'y,-x,z'
'-x,y,z'
'y,x,z'
'x,-y,z'
'-y,-x,z'
loop_
_atom_site_label
_atom_site_fract_x
_atom_site_fract_y
_atom_site_fract_z
_atom_site_occupancy
K1 0.000 0.000 0.000 1
Rh1 0.500 0.500 0.295 1
Se1 0.000 0.000 0.406 1
Se2 0.500 0.500 0.742 1

# ZrGa2Os, PBEsol geometry, DFT meta-GGA SCAN
# Total moment: 0.000 Bohr magnetons per cell
# Uncorrected energy: -546.85 eV for the cell shown
# ΔH_f (0 K): -0.3603 eV/atom
data_ZrGa2Os
_chemical_formula_sum 'Zr4 Ga8 Os4'
_symmetry_space_group_name_H-M 'F m -3 m'
_symmetry_Int_Tables_number 225
_symmetry_space_group_name_Hall '-F 4 2 3'
_cell_length_a 6.281
_cell_length_b 6.281
_cell_length_c 6.281
_cell_angle_alpha 90.00
_cell_angle_beta 90.00
_cell_angle_gamma 90.00
loop_
_atom_site_label
_atom_site_fract_x
_atom_site_fract_y
_atom_site_fract_z
_atom_site_occupancy
Zr1 0.000 0.000 0.000 1
Ga1 0.250 0.250 0.250 1
Os1 0.000 0.000 0.500 1

# Li3Fe3TeO8, PBEsol geometry, DFT meta-GGA SCAN
# Total moment: 39.000 Bohr magnetons per cell
# E_form (uncorrected): -1.67 eV/atom
# Uncorrected energy: -520.91 eV for the cell shown
data_Li3Fe3TeO8
_chemical_formula_sum 'Li9 Fe9 Te3 O24'
_symmetry_space_group_name_H-M 'R -3 m'
_symmetry_Int_Tables_number 166
_symmetry_space_group_name_Hall '-R 3 2"'
_cell_length_a 6.0369
_cell_length_b 6.0369
_cell_length_c 14.6418
_cell_angle_alpha 90.00
_cell_angle_beta 90.00
_cell_angle_gamma 120.00
loop_
_atom_site_label
_atom_site_fract_x
_atom_site_fract_y
_atom_site_fract_z
_atom_site_occupancy
Li1 0.0000 0.5000 0.0000 1
Fe1 0.0000 0.5000 0.5000 1
Te1 0.0000 0.0000 0.5000 1
O1 0.0000 0.0000 0.2405 1
O2 0.0248 0.5124 0.2423 1

# TcSeBr2F, PBEsol geometry, DFT meta-GGA SCAN
# Total moment: 0.001 Bohr magnetons per cell
# E_form (uncorrected): 0.08 eV/atom
# Uncorrected energy: -97.21 eV for the cell shown
data_TcSeBr2F
_chemical_formula_sum 'Tc1 Se1 Br2 F1'
_symmetry_space_group_name_H-M 'P 4/m m m'
_symmetry_Int_Tables_number 123
_symmetry_space_group_name_Hall '-P 4 2'
_cell_length_a 4.945
_cell_length_b 4.945
_cell_length_c 4.651
_cell_angle_alpha 90.00
_cell_angle_beta 90.00
_cell_angle_gamma 90.00
loop_
_atom_site_label
_atom_site_fract_x
_atom_site_fract_y
_atom_site_fract_z
_atom_site_occupancy
Tc1 0.000 0.000 0.000 1
Se1 0.000 0.000 0.500 1
Br1 0.000 0.500 0.000 1
F1 0.500 0.500 0.500 1

# ScRh2W, PBEsol geometry, DFT meta-GGA SCAN
# Total moment: 0.000 Bohr magnetons per cell
# Uncorrected energy: -304.01 eV for the cell shown
# ΔH_f (0 K): -0.1343 eV/atom
data_ScRh2W
_chemical_formula_sum 'Sc2 Rh4 W2'
_symmetry_space_group_name_H-M 'C 1 2/m 1'
_symmetry_Int_Tables_number 12
_cell_length_a 8.886
_cell_length_b 2.788
_cell_length_c 5.042
_cell_angle_alpha 90.00
_cell_angle_beta 98.93
_cell_angle_gamma 90.00
loop_
_symmetry_equiv_pos_as_xyz
'x,y,z'
'-x,-y,-z'
'-x,y,-z'
'x,-y,z'
'x+1/2,y+1/2,z'
'-x+1/2,-y+1/2,-z'
'-x+1/2,y+1/2,-z'
'x+1/2,-y+1/2,z'
loop_
_atom_site_label
_atom_site_fract_x
_atom_site_fract_y
_atom_site_fract_z
_atom_site_occupancy
Sc1 0.000 0.000 0.000 1
Rh1 0.249 0.000 0.733 1
W1 0.000 0.500 0.500 1

# Rb2Li2Cd, PBEsol geometry, DFT meta-GGA SCAN
# Total moment: 0.017 Bohr magnetons per cell
# Uncorrected energy: -152.58 eV for the cell shown
# ΔH_f (0 K): 0.0766 eV/atom
data_Rb2Li2Cd
_chemical_formula_sum 'Rb4 Li4 Cd2'
_symmetry_space_group_name_H-M 'P 4/m b m'
_symmetry_Int_Tables_number 127
_symmetry_space_group_name_Hall '-P 4 2ab'
_cell_length_a 7.808
_cell_length_b 7.808
_cell_length_c 6.208
_cell_angle_alpha 90.00
_cell_angle_beta 90.00
_cell_angle_gamma 90.00
loop_
_atom_site_label
_atom_site_fract_x
_atom_site_fract_y
_atom_site_fract_z
_atom_site_occupancy
Rb1 0.190 0.310 0.000 1
Li1 0.148 0.648 0.500 1
Cd1 0.000 0.000 0.500 1

# CrGaAsCl2, PBEsol geometry, DFT meta-GGA SCAN
# Total moment: 2.932 Bohr magnetons per cell
# E_form (uncorrected): 0.28 eV/atom
# Uncorrected energy: -69.46 eV for the cell shown
data_CrGaAsCl2
_chemical_formula_sum 'Cr1 Ga1 As1 Cl2'
_symmetry_space_group_name_H-M 'P 4/m m m'
_symmetry_Int_Tables_number 123
_symmetry_space_group_name_Hall '-P 4 2'
_cell_length_a 4.491
_cell_length_b 4.491
_cell_length_c 6.075
_cell_angle_alpha 90.00
_cell_angle_beta 90.00
_cell_angle_gamma 90.00
loop_
_atom_site_label
_atom_site_fract_x
_atom_site_fract_y
_atom_site_fract_z
_atom_site_occupancy
Cr1 0.000 0.000 0.000 1
Ga1 0.000 0.000 0.500 1
As1 0.500 0.500 0.000 1
Cl1 0.000 0.500 0.500 1

# RbIn2GaPt, PBEsol geometry, DFT meta-GGA SCAN
# Total moment: 0.000 Bohr magnetons per cell
# Uncorrected energy: -174.03 eV for the cell shown
# ΔH_f (0 K): 0.0042 eV/atom
data_RbIn2GaPt
_chemical_formula_sum 'Rb1 In2 Ga1 Pt1'
_symmetry_space_group_name_H-M 'P 4/m m m'
_symmetry_Int_Tables_number 123
_symmetry_space_group_name_Hall '-P 4 2'
_cell_length_a 5.121
_cell_length_b 5.121
_cell_length_c 6.092
_cell_angle_alpha 90.00
_cell_angle_beta 90.00
_cell_angle_gamma 90.00
loop_
_atom_site_label
_atom_site_fract_x
_atom_site_fract_y
_atom_site_fract_z
_atom_site_occupancy
Rb1 0.000 0.000 0.000 1
In1 0.000 0.500 0.500 1
Ga1 0.500 0.500 0.000 1
Pt1 0.000 0.000 0.500 1

# La2SiCl, PBEsol geometry, DFT meta-GGA SCAN
# Total moment: 0.003 Bohr magnetons per cell
# E_form (uncorrected): -0.89 eV/atom
# Uncorrected energy: -431.05 eV for the cell shown
data_La2SiCl
_chemical_formula_sum 'La8 Si4 Cl4'
_symmetry_space_group_name_H-M 'I -4 2 d'
_symmetry_Int_Tables_number 122
_symmetry_space_group_name_Hall 'I -4 2bw'
_cell_length_a 6.000
_cell_length_b 6.000
_cell_length_c 15.177
_cell_angle_alpha 90.00
_cell_angle_beta 90.00
_cell_angle_gamma 90.00
loop_
_atom_site_label
_atom_site_fract_x
_atom_site_fract_y
_atom_site_fract_z
_atom_site_occupancy
La1 0.249 0.250 0.125 1
Si1 0.000 0.000 0.500 1
Cl1 0.000 0.000 0.000 1

# CdNiBr, PBEsol geometry, DFT meta-GGA SCAN
# Total moment: 0.000 Bohr magnetons per cell
# E_form (uncorrected): 0.33 eV/atom
# Uncorrected energy: -260.25 eV for the cell shown
data_CdNiBr
_chemical_formula_sum 'Cd4 Ni4 Br4'
_symmetry_space_group_name_H-M 'F -4 3 m'
_symmetry_Int_Tables_number 216
_symmetry_space_group_name_Hall 'F -4 2 3'
_cell_length_a 6.175
_cell_length_b 6.175
_cell_length_c 6.175
_cell_angle_alpha 90.00
_cell_angle_beta 90.00
_cell_angle_gamma 90.00
loop_
_atom_site_label
_atom_site_fract_x
_atom_site_fract_y
_atom_site_fract_z
_atom_site_occupancy
Cd1 0.000 0.000 0.000 1
Ni1 0.250 0.250 0.750 1
Br1 0.000 0.000 0.500 1

# YAl3Ga, PBEsol geometry, DFT meta-GGA SCAN
# Total moment: 0.000 Bohr magnetons per cell
# Uncorrected energy: -66.33 eV for the cell shown
# ΔH_f (0 K): 0.2236 eV/atom
data_YAl3Ga
_chemical_formula_sum 'Y1 Al3 Ga1'
_symmetry_space_group_name_H-M 'P m -3 m'
_symmetry_Int_Tables_number 221
_symmetry_space_group_name_Hall '-P 4 2 3'
_cell_length_a 4.821
_cell_length_b 4.821
_cell_length_c 4.821
_cell_angle_alpha 90.00
_cell_angle_beta 90.00
_cell_angle_gamma 90.00
loop_
_atom_site_label
_atom_site_fract_x
_atom_site_fract_y
_atom_site_fract_z
_atom_site_occupancy
Y1 0.000 0.000 0.000 1
Al1 0.000 0.500 0.500 1
Ga1 0.500 0.500 0.500 1

# ZrBr3O, PBEsol geometry, DFT meta-GGA SCAN
# Total moment: 1.407 Bohr magnetons per cell
# E_form (uncorrected): -0.48 eV/atom
# Uncorrected energy: -97.70 eV for the cell shown
data_ZrBr3O
_chemical_formula_sum 'Zr1 Br3 O1'
_symmetry_space_group_name_H-M 'P m -3 m'
_symmetry_Int_Tables_number 221
_symmetry_space_group_name_Hall '-P 4 2 3'
_cell_length_a 5.196
_cell_length_b 5.196
_cell_length_c 5.196
_cell_angle_alpha 90.00
_cell_angle_beta 90.00
_cell_angle_gamma 90.00
loop_
_atom_site_label
_atom_site_fract_x
_atom_site_fract_y
_atom_site_fract_z
_atom_site_occupancy
Zr1 0.000 0.000 0.000 1
Br1 0.000 0.000 0.500 1
O1 0.500 0.500 0.500 1

- Which of these has the lowest uncorrected energy?
  ZrGa2Os

- Which of these has the lowest uncorrected energy?
  ZrGa2Os

- What is the total moment in the twelfth record?
  1.407 Bohr magnetons per cell

- What is the formula in the ninth record?
  La2SiCl